w) Below is a geometry-optimized LaAs2PdSe structure, with properties calculated at the PBE level.

a = 4.853 Å, b = 4.853 Å, c = 5.126 Å
α = 90.00°, β = 90.00°, γ = 90.00°
Element x y z (fractional)
La (0.000, 0.000, 0.000)
As (0.000, 0.500, 0.500)
As (0.500, 0.000, 0.500)
Pd (0.500, 0.500, 0.500)
Se (0.500, 0.500, 0.000)

## Properties
space-group type	P4/mmm
D(E_F)	0.79	states/eV/atom

x) Below is a geometry-optimized LaAs2PdSe structure, with properties calculated at the PBE level.

a = 5.716 Å, b = 5.716 Å, c = 5.627 Å
α = 90.00°, β = 90.00°, γ = 90.00°
Element x y z (fractional)
La (0.000, 0.000, 0.000)
As (0.000, 0.500, 0.000)
As (0.500, 0.000, 0.000)
Pd (0.500, 0.500, 0.500)
Se (0.000, 0.000, 0.500)

## Properties
space-group type	P4/mmm
D(E_F)	1.59	states/eV/atom

Stability verdict: w), ahead by 1190 meV/atom

w) Below is a geometry-optimized LaPmAs structure, with properties calculated at the PBE level.

a = 6.160 Å, b = 6.160 Å, c = 6.160 Å
α = 142.83°, β = 142.83°, γ = 53.58°
Element x y z (fractional)
La (0.000, 0.000, 0.000)
Pm (0.720, 0.720, 0.000)
As (0.343, 0.343, 0.000)

## Properties
space-group type	I4mm
D(E_F)	1.21	states/eV/atom

x) Below is a geometry-optimized LaPmAs structure, with properties calculated at the PBE level.

a = 4.136 Å, b = 4.136 Å, c = 6.841 Å
α = 90.00°, β = 90.00°, γ = 120.00°
Element x y z (fractional)
La (0.000, 0.000, 0.000)
Pm (0.667, 0.333, 0.510)
As (0.333, 0.667, 0.262)

## Properties
space-group type	P3m1
D(E_F)	0.95	states/eV/atom

Stability verdict: x), ahead by 128 meV/atom

w) Below is a geometry-optimized LaPr2As structure, with properties calculated at the PBE level.

a = 9.933 Å, b = 9.933 Å, c = 9.933 Å
α = 23.61°, β = 23.61°, γ = 23.61°
Element x y z (fractional)
La (0.000, 0.000, 0.000)
Pr (0.562, 0.562, 0.562)
Pr (0.772, 0.772, 0.772)
As (0.167, 0.167, 0.167)

## Properties
space-group type	R3m
D(E_F)	0.92	states/eV/atom

x) Below is a geometry-optimized LaPr2As structure, with properties calculated at the PBE level.

a = 10.000 Å, b = 10.000 Å, c = 10.000 Å
α = 23.33°, β = 23.33°, γ = 23.33°
Element x y z (fractional)
La (0.000, 0.000, 0.000)
Pr (0.228, 0.228, 0.228)
Pr (0.772, 0.772, 0.772)
As (0.500, 0.500, 0.500)

## Properties
space-group type	R-3m
D(E_F)	0.99	states/eV/atom

Stability verdict: w), ahead by 7 meV/atom

w) Below is a geometry-optimized LaPrAs2 structure, with properties calculated at the PBE level.

a = 7.519 Å, b = 7.519 Å, c = 7.519 Å
α = 33.57°, β = 33.57°, γ = 33.57°
Element x y z (fractional)
La (0.000, 0.000, 0.000)
Pr (0.500, 0.500, 0.500)
As (0.249, 0.249, 0.249)
As (0.751, 0.751, 0.751)

## Properties
space-group type	R-3m
D(E_F)	0.14	states/eV/atom

x) Below is a geometry-optimized LaPrAs2 structure, with properties calculated at the PBE level.

a = 7.823 Å, b = 7.823 Å, c = 7.823 Å
α = 31.72°, β = 31.72°, γ = 31.72°
Element x y z (fractional)
La (0.000, 0.000, 0.000)
Pr (0.171, 0.171, 0.171)
As (0.584, 0.584, 0.584)
As (0.754, 0.754, 0.754)

## Properties
space-group type	R3m
D(E_F)	0.07	states/eV/atom

Stability verdict: w), ahead by 144 meV/atom

w) Below is a geometry-optimized La2AsPt2 structure, with properties calculated at the PBE level.

a = 5.665 Å, b = 5.665 Å, c = 5.665 Å
α = 120.33°, β = 120.33°, γ = 89.43°
Element x y z (fractional)
La (0.250, 0.750, 0.500)
La (0.750, 0.250, 0.500)
As (0.000, 0.000, 0.000)
Pt (0.342, 0.342, 0.000)
Pt (0.658, 0.658, 0.000)

## Properties
space-group type	I4/mmm
D(E_F)	0.91	states/eV/atom

x) Below is a geometry-optimized La2AsPt2 structure, with properties calculated at the PBE level.

a = 8.424 Å, b = 8.424 Å, c = 8.424 Å
α = 153.07°, β = 153.07°, γ = 38.46°
Element x y z (fractional)
La (0.108, 0.108, 0.000)
La (0.892, 0.892, 0.000)
As (0.500, 0.500, 0.000)
Pt (0.250, 0.750, 0.500)
Pt (0.750, 0.250, 0.500)

## Properties
space-group type	I4/mmm
D(E_F)	0.54	states/eV/atom

y) Below is a geometry-optimized La2AsPt2 structure, with properties calculated at the PBE level.

a = 7.682 Å, b = 7.682 Å, c = 4.041 Å
α = 90.00°, β = 90.00°, γ = 90.00°
Element x y z (fractional)
La (0.182, 0.318, 0.000)
La (0.318, 0.818, 0.000)
La (0.682, 0.182, 0.000)
La (0.818, 0.682, 0.000)
As (0.000, 0.000, 0.500)
As (0.500, 0.500, 0.500)
Pt (0.126, 0.626, 0.500)
Pt (0.374, 0.126, 0.500)
Pt (0.626, 0.874, 0.500)
Pt (0.874, 0.374, 0.500)

## Properties
space-group type	P4/mbm
D(E_F)	0.62	states/eV/atom

Stability verdict: y), ahead by 14 meV/atom

w) Below is a geometry-optimized LaAs3Pt structure, with properties calculated at the PBE level.

a = 4.961 Å, b = 4.961 Å, c = 4.961 Å
α = 90.00°, β = 90.00°, γ = 90.00°
Element x y z (fractional)
La (0.000, 0.000, 0.000)
As (0.000, 0.500, 0.500)
As (0.500, 0.000, 0.500)
As (0.500, 0.500, 0.000)
Pt (0.500, 0.500, 0.500)

## Properties
space-group type	Pm-3m
D(E_F)	0.86	states/eV/atom

x) Below is a geometry-optimized LaAs3Pt structure, with properties calculated at the PBE level.

a = 5.553 Å, b = 5.553 Å, c = 5.553 Å
α = 90.00°, β = 90.00°, γ = 90.00°
Element x y z (fractional)
La (0.000, 0.000, 0.000)
As (0.000, 0.000, 0.500)
As (0.000, 0.500, 0.000)
As (0.500, 0.000, 0.000)
Pt (0.500, 0.500, 0.500)

## Properties
space-group type	Pm-3m
D(E_F)	2.05	states/eV/atom

Stability verdict: w), ahead by 1538 meV/atom

w) Below is a geometry-optimized LaAsPtSe2 structure, with properties calculated at the PBE level.

a = 5.125 Å, b = 5.125 Å, c = 4.755 Å
α = 90.00°, β = 90.00°, γ = 90.00°
Element x y z (fractional)
La (0.000, 0.000, 0.000)
As (0.500, 0.500, 0.000)
Pt (0.500, 0.500, 0.500)
Se (0.000, 0.500, 0.500)
Se (0.500, 0.000, 0.500)

## Properties
space-group type	P4/mmm
D(E_F)	0.81	states/eV/atom

x) Below is a geometry-optimized LaAsPtSe2 structure, with properties calculated at the PBE level.

a = 5.628 Å, b = 5.628 Å, c = 5.797 Å
α = 90.00°, β = 90.00°, γ = 90.00°
Element x y z (fractional)
La (0.000, 0.000, 0.000)
As (0.000, 0.000, 0.500)
Pt (0.500, 0.500, 0.500)
Se (0.000, 0.500, 0.000)
Se (0.500, 0.000, 0.000)

## Properties
space-group type	P4/mmm
D(E_F)	1.93	states/eV/atom

Stability verdict: w), ahead by 1362 meV/atom

w) Below is a geometry-optimized LaAs2PtSe structure, with properties calculated at the PBE level.

a = 5.690 Å, b = 5.690 Å, c = 5.549 Å
α = 90.00°, β = 90.00°, γ = 90.00°
Element x y z (fractional)
La (0.000, 0.000, 0.000)
As (0.000, 0.500, 0.000)
As (0.500, 0.000, 0.000)
Pt (0.500, 0.500, 0.500)
Se (0.000, 0.000, 0.500)

## Properties
space-group type	P4/mmm
D(E_F)	1.58	states/eV/atom

x) Below is a geometry-optimized LaAs2PtSe structure, with properties calculated at the PBE level.

a = 4.870 Å, b = 4.870 Å, c = 5.208 Å
α = 90.00°, β = 90.00°, γ = 90.00°
Element x y z (fractional)
La (0.000, 0.000, 0.000)
As (0.000, 0.500, 0.500)
As (0.500, 0.000, 0.500)
Pt (0.500, 0.500, 0.500)
Se (0.500, 0.500, 0.000)

## Properties
space-group type	P4/mmm
D(E_F)	0.88	states/eV/atom

Stability verdict: x), ahead by 1450 meV/atom

w) Below is a geometry-optimized LaPuAs2 structure, with properties calculated at the PBE level.

a = 7.353 Å, b = 7.353 Å, c = 7.353 Å
α = 33.67°, β = 33.67°, γ = 33.67°
Element x y z (fractional)
La (0.000, 0.000, 0.000)
Pu (0.500, 0.500, 0.500)
As (0.244, 0.244, 0.244)
As (0.756, 0.756, 0.756)

## Properties
space-group type	R-3m
D(E_F)	2.98	states/eV/atom

x) Below is a geometry-optimized LaPuAs2 structure, with properties calculated at the PBE level.

a = 4.216 Å, b = 4.216 Å, c = 7.297 Å
α = 90.00°, β = 90.00°, γ = 120.00°
Element x y z (fractional)
La (0.000, 0.000, 0.000)
Pu (0.000, 0.000, 0.500)
As (0.333, 0.667, 0.734)
As (0.667, 0.333, 0.266)

## Properties
space-group type	P-3m1
D(E_F)	3.16	states/eV/atom

Stability verdict: w), ahead by 189 meV/atom

w) Below is a geometry-optimized RbLaAs3 structure, with properties calculated at the PBE level.

a = 5.767 Å, b = 5.767 Å, c = 5.767 Å
α = 90.00°, β = 90.00°, γ = 90.00°
Element x y z (fractional)
Rb (0.000, 0.000, 0.000)
La (0.500, 0.500, 0.500)
As (0.000, 0.500, 0.500)
As (0.500, 0.000, 0.500)
As (0.500, 0.500, 0.000)

## Properties
space-group type	Pm-3m
D(E_F)	1.02	states/eV/atom

x) Below is a geometry-optimized RbLaAs3 structure, with properties calculated at the PBE level.

a = 5.401 Å, b = 5.401 Å, c = 5.401 Å
α = 90.00°, β = 90.00°, γ = 90.00°
Element x y z (fractional)
Rb (0.000, 0.000, 0.000)
La (0.500, 0.500, 0.500)
As (0.000, 0.000, 0.500)
As (0.000, 0.500, 0.000)
As (0.500, 0.000, 0.000)

## Properties
space-group type	Pm-3m
D(E_F)	0.87	states/eV/atom

Stability verdict: w), ahead by 753 meV/atom

w) Below is a geometry-optimized RbLaAs2Se structure, with properties calculated at the PBE level.

a = 5.827 Å, b = 5.827 Å, c = 5.830 Å
α = 90.00°, β = 90.00°, γ = 90.00°
Element x y z (fractional)
Rb (0.000, 0.000, 0.000)
La (0.500, 0.500, 0.500)
As (0.000, 0.500, 0.500)
As (0.500, 0.000, 0.500)
Se (0.500, 0.500, 0.000)

## Properties
space-group type	P4/mmm
D(E_F)	1.07	states/eV/atom

x) Below is a geometry-optimized RbLaAs2Se structure, with properties calculated at the PBE level.

a = 5.374 Å, b = 5.374 Å, c = 5.619 Å
α = 90.00°, β = 90.00°, γ = 90.00°
Element x y z (fractional)
Rb (0.000, 0.000, 0.000)
La (0.500, 0.500, 0.500)
As (0.000, 0.500, 0.000)
As (0.500, 0.000, 0.000)
Se (0.000, 0.000, 0.500)

## Properties
space-group type	P4/mmm
D(E_F)	1.50	states/eV/atom

Stability verdict: w), ahead by 858 meV/atom

w) Below is a geometry-optimized LaRe3As structure, with properties calculated at the PBE level.

a = 4.836 Å, b = 4.836 Å, c = 4.836 Å
α = 90.00°, β = 90.00°, γ = 90.00°
Element x y z (fractional)
La (0.000, 0.000, 0.000)
Re (0.000, 0.000, 0.500)
Re (0.000, 0.500, 0.000)
Re (0.500, 0.000, 0.000)
As (0.500, 0.500, 0.500)

## Properties
space-group type	Pm-3m
D(E_F)	1.59	states/eV/atom

x) Below is a geometry-optimized LaRe3As structure, with properties calculated at the PBE level.

a = 4.682 Å, b = 4.682 Å, c = 4.682 Å
α = 90.00°, β = 90.00°, γ = 90.00°
Element x y z (fractional)
La (0.000, 0.000, 0.000)
Re (0.000, 0.500, 0.500)
Re (0.500, 0.000, 0.500)
Re (0.500, 0.500, 0.000)
As (0.500, 0.500, 0.500)

## Properties
space-group type	Pm-3m
D(E_F)	2.07	states/eV/atom

Stability verdict: x), ahead by 2087 meV/atom